No. 1
Th4PdSeS2: optimized geometry, PBE.

Unit cell a=7.1919 b=4.0628 c=7.2709 alpha=90.00 beta=108.88 gamma=90.00
Closest atoms and distances in Å follow each position.
Fractional coordinates of all 8 atoms:
Th 0.2336 0.0000 0.2427  3 S 2.85-2.89, 1 Pd 3.00, 2 Se 3.00
Th 0.2435 0.5000 0.7542  3 S 2.88-2.92, 2 Pd 2.93, 1 Se 3.00
Th 0.7565 0.5000 0.2458  3 S 2.88-2.92, 2 Pd 2.93, 1 Se 3.00
Th 0.7664 0.0000 0.7573  3 S 2.85-2.89, 1 Pd 3.00, 2 Se 3.00
Pd 0.5000 0.0000 0.0000  6 Th 2.93-3.00
Se 0.5000 0.5000 0.5000  6 Th 3.00
S 0.0000 0.0000 0.5000  6 Th 2.89-2.92
S 0.0000 0.5000 0.0000  6 Th 2.85-2.88

Summary:
uncorrected formation energy: -1.45 eV per atom
E: -58.2 eV per formula unit

---

No. 2
NaAg8Sn2: optimized geometry, PBE.

Unit cell a=8.0478 b=8.0478 c=6.6455 alpha=103.86 beta=103.86 gamma=31.08
Closest atoms and distances in Å follow each position.
Fractional coordinates of all 11 atoms:
Na 0.0000 0.0000 0.0000  12 Ag 2.98-3.04
Ag 0.0885 0.0885 0.4604  8 Ag 2.92-3.02, 1 Na 3.03, 3 Sn 3.07-3.17
Ag 0.1798 0.1798 0.9156  3 Sn 2.87-2.96, 1 Na 2.98, 8 Ag 3.00-3.12
Ag 0.3656 0.3656 0.8141  7 Ag 2.97-3.12, 2 Na 3.04, 3 Sn 3.06-3.08
Ag 0.4563 0.4563 0.2750  9 Ag 2.96-3.06, 1 Sn 2.96, 2 Na 3.01
Ag 0.5437 0.5437 0.7250  9 Ag 2.96-3.06, 1 Sn 2.96, 2 Na 3.01
Ag 0.6344 0.6344 0.1859  7 Ag 2.97-3.12, 2 Na 3.04, 3 Sn 3.06-3.08
Ag 0.8202 0.8202 0.0844  3 Sn 2.87-2.96, 1 Na 2.98, 8 Ag 3.00-3.12
Ag 0.9115 0.9115 0.5396  8 Ag 2.92-3.02, 1 Na 3.03, 3 Sn 3.07-3.17
Sn 0.2750 0.2750 0.3452  10 Ag 2.87-3.17, 2 Sn 3.21
Sn 0.7250 0.7250 0.6548  10 Ag 2.87-3.17, 2 Sn 3.21

Summary:
DFT formation energy: 18 meV/atom
E: -31.9 eV per formula unit

---

No. 3
BRh3Pb: optimized geometry, PBE.

Unit cell a=9.0152 b=9.0152 c=4.2375 alpha=103.52 beta=103.52 gamma=26.91
Closest atoms and distances in Å follow each position.
Fractional coordinates of all 10 atoms:
B 0.1799 0.1799 0.4281  6 Rh 2.05-2.12
B 0.8201 0.8201 0.5719  6 Rh 2.05-2.12
Rh 0.0594 0.0594 0.3089  1 B 2.05
Rh 0.1837 0.1837 0.9322  2 B 2.12
Rh 0.3048 0.3048 0.5550  3 B 2.11-2.12
Rh 0.6952 0.6952 0.4450  3 B 2.11-2.12
Rh 0.8163 0.8163 0.0678  2 B 2.12
Rh 0.9406 0.9406 0.6911  1 B 2.05
Pb 0.4255 0.4255 0.1760  10 Rh 2.80-3.10
Pb 0.5745 0.5745 0.8240  10 Rh 2.80-3.10

Summary:
DFT formation energy: -112 meV/atom
polymorph energy (0 for the lowest one): 0.1113 eV per atom
E: -33.0 eV per formula unit

---

No. 4
CsInAgBi: optimized geometry, PBE.

Unit cell a=4.9208 b=4.9208 c=13.7593 alpha=90.00 beta=90.00 gamma=90.00
Closest atoms and distances in Å follow each position.
Fractional coordinates of all 8 atoms:
Cs 0.2500 0.2500 0.2122  4 Ag 3.82, 4 Bi 4.08
Cs 0.7500 0.7500 0.7878  4 Ag 3.82, 4 Bi 4.08
In 0.2500 0.7500 0.5000  4 Bi 3.06
In 0.7500 0.2500 0.5000  4 Bi 3.06
Ag 0.2500 0.7500 0.0000  4 Ag 3.48, 4 Cs 3.82
Ag 0.7500 0.2500 0.0000  4 Ag 3.48, 4 Cs 3.82
Bi 0.2500 0.2500 0.6328  4 In 3.06
Bi 0.7500 0.7500 0.3672  4 In 3.06

Summary:
DFT formation energy: 16 meV/atom
E: -10.3 eV per formula unit

---

No. 5
NdMg2Au: optimized geometry, PBE.

Unit cell a=4.9927 b=4.9927 c=4.9927 alpha=60.00 beta=60.00 gamma=60.00
Closest atoms and distances in Å follow each position.
Fractional coordinates of all 4 atoms:
Nd 0.0000 0.0000 0.0000  8 Mg 3.06
Mg 0.2500 0.2500 0.2500  4 Au 3.06, 4 Nd 3.06
Mg 0.7500 0.7500 0.7500  4 Au 3.06, 4 Nd 3.06
Au 0.5000 0.5000 0.5000  8 Mg 3.06

Summary:
DFT formation energy: -320 meV/atom
E: -12.5 eV per formula unit

---

No. 6
Sn2GeSb2: optimized geometry, PBE.

Unit cell a=8.7631 b=8.7631 c=8.7631 alpha=152.48 beta=152.48 gamma=39.31
Closest atoms and distances in Å follow each position.
Fractional coordinates of all 5 atoms:
Sn 0.2500 0.7500 0.5000  4 Sn 2.95
Sn 0.7500 0.2500 0.5000  4 Sn 2.95
Ge 0.0000 0.0000 0.0000  8 Sb 3.29
Sb 0.4116 0.4116 0.0000  1 Sb 2.92
Sb 0.5884 0.5884 0.0000  1 Sb 2.92

Summary:
uncorrected formation energy: 0.29 eV per atom
polymorph energy (0 for the lowest one): 0.0782 eV per atom
E: -19.4 eV per formula unit

---

No. 7
DyTmMnNi: optimized geometry, PBE.

Unit cell a=4.8471 b=4.8471 c=4.8471 alpha=60.00 beta=60.00 gamma=60.00
Closest atoms and distances in Å follow each position.
Fractional coordinates of all 4 atoms:
Dy 0.0000 0.0000 0.0000  4 Mn 2.97, 4 Ni 2.97
Tm 0.5000 0.5000 0.5000  4 Mn 2.97, 4 Ni 2.97
Mn 0.2500 0.2500 0.2500  4 Dy 2.97, 4 Tm 2.97
Ni 0.7500 0.7500 0.7500  4 Dy 2.97, 4 Tm 2.97

Summary:
DFT formation energy: -41 meV/atom
E: -24.2 eV per formula unit

---

No. 8
Nd2YHg: optimized geometry, PBE.

Unit cell a=3.7331 b=3.7331 c=8.9767 alpha=90.00 beta=90.00 gamma=90.00
Closest atoms and distances in Å follow each position.
Fractional coordinates of all 4 atoms:
Nd 0.0000 0.0000 0.2229  4 Hg 3.31, 4 Y 3.63
Nd 0.0000 0.0000 0.7771  4 Hg 3.31, 4 Y 3.63
Y 0.5000 0.5000 0.5000  8 Nd 3.63, 4 Y 3.73
Hg 0.5000 0.5000 0.0000  8 Nd 3.31

Summary:
DFT formation energy: -216 meV/atom
polymorph energy (0 for the lowest one): 0.0218 eV per atom
E: -17.2 eV per formula unit